# HoTmAg2

HoTmAg2 after structural relaxation (PBEsol, Alexandria via LeMat-Bulk).

The structure in POSCAR format:
```
HoTmAg2
1.0
-1.435 -3.098 -3.654
3.426 -2.178 -2.921
0.870 -4.909 0.398
Tm Ho Ag
1 1 2
Cartesian
0.000 0.000 0.000
1.431 -5.092 -3.088
2.146 -7.639 -4.633
0.715 -2.546 -1.544
```

Output
For the volume, the calculation gives 88.4 Å³ per cell. Its symmetry is Fm-3m. The energy is -4.465 eV/atom. The value obtained for the total magnetization is 0.000 μB/f.u. The density of states at the Fermi level is 0.54 states/eV/atom.

=====

# YMgZr2

YMgZr2 after structural relaxation (PBEsol, Alexandria via LeMat-Bulk).

The structure in POSCAR format:
```
YMgZr2
1.0
3.209 0.000 0.000
0.000 3.209 0.000
0.000 0.000 9.378
Y Mg Zr
1 1 2
Cartesian
1.604 1.604 7.087
0.000 0.000 4.565
0.000 0.000 0.135
1.604 1.604 2.281
```

Output
For the volume, the calculation gives 96.5 Å³ per cell. Its symmetry is P4mm. The energy is -6.650 eV/atom. The value obtained for the total magnetization is 0.000 μB/f.u. The density of states at the Fermi level is 1.22 states/eV/atom.

=====

# SiTePt2

SiTePt2 after structural relaxation (PBEsol, Alexandria via LeMat-Bulk).

The structure in POSCAR format:
```
SiTePt2
1.0
3.682 0.000 0.000
-1.841 3.770 -0.003
0.000 -0.460 5.487
Pt Si Te
2 1 1
Cartesian
0.000 0.135 0.305
1.841 1.656 1.938
0.000 3.126 1.727
0.000 1.934 4.253
```

Output
For the volume, the calculation gives 76.1 Å³ per cell. Its symmetry is Cm. As for the uncorrected formation energy: -0.323 eV/atom. The energy above the most stable polymorph in this dataset is 0 meV per atom. The value obtained for the total magnetization is 0.000 μB/f.u. The density of states at the Fermi level is 0.40 states/eV/atom.

=====

# CsBe2F5

CsBe2F5 after structural relaxation (PBEsol, Alexandria via LeMat-Bulk).

The structure in POSCAR format:
```
CsBe2F5
1.0
-3.567 -5.315 -4.586
-2.016 -4.152 6.380
-6.724 4.064 0.520
Cs Be F
4 8 20
Cartesian
-7.576 -2.629 -2.890
-7.589 0.297 3.869
-4.834 -6.446 2.781
-4.615 -2.026 0.868
-1.320 -0.579 0.248
-7.911 -3.472 1.487
-7.050 -5.669 -0.016
-8.961 -1.229 0.185
-7.284 -3.326 4.210
-7.326 0.993 -0.282
-4.738 -5.459 -1.578
-4.639 -2.866 5.000
-7.868 -2.345 0.388
-10.006 -1.921 -0.768
-6.812 -4.490 1.000
-8.244 -0.194 -0.760
-12.279 -5.389 2.309
-6.420 0.675 0.863
-4.863 -3.976 -1.717
-4.073 -3.438 3.742
-5.143 -0.657 -2.030
-2.804 -4.721 0.924
-4.389 -0.037 3.426
-9.259 -4.064 1.741
-2.539 0.348 -0.118
-8.619 -2.709 4.774
-5.588 -6.098 -0.416
-1.608 -0.977 1.745
-7.528 -6.849 0.911
-6.167 -2.487 4.937
-1.629 -1.907 -0.541
-7.235 -2.784 2.732
```

Output
For the volume, the calculation gives 488.2 Å³ per cell. Its symmetry is P4_132. As for the uncorrected formation energy: -3.201 eV/atom. The value obtained for the total magnetization is 0.157 μB/f.u. The density of states at the Fermi level is 0.00 states/eV/atom.

=====

# LaPrTl2

LaPrTl2 after structural relaxation (PBEsol, Alexandria via LeMat-Bulk).

The structure in POSCAR format:
```
LaPrTl2
1.0
5.495 0.000 0.000
2.747 4.759 0.000
2.747 1.586 4.487
Pr Tl La
1 2 1
Cartesian
0.000 0.000 0.000
8.242 4.759 3.365
2.747 1.586 1.122
5.495 3.173 2.243
```

Output
For the volume, the calculation gives 117.3 Å³ per cell. Its symmetry is Fm-3m. The energy is -4.407 eV/atom. The value obtained for the total magnetization is 0.001 μB/f.u. The density of states at the Fermi level is 1.02 states/eV/atom.

=====

# LaZrTa3O11

LaZrTa3O11 after structural relaxation (PBEsol, Alexandria via LeMat-Bulk).

The structure in POSCAR format:
```
LaZrTa3O11
1.0
-2.635 1.793 5.385
-3.488 -0.543 -5.167
-2.302 -11.960 2.834
La Zr Ta O
2 2 6 22
Cartesian
-4.069 -4.963 3.296
-3.203 0.236 -1.646
-2.275 -1.857 4.160
-5.604 -7.358 5.647
-2.805 -3.344 -2.584
-2.817 -2.510 0.777
-6.164 -8.856 -1.092
-5.609 -8.202 2.263
-2.915 1.025 1.917
-4.354 -5.742 -0.222
-1.224 -2.551 1.999
-1.550 -3.128 -0.600
-5.110 -2.036 0.923
-7.092 -8.177 0.966
-6.997 -7.599 3.583
-3.306 -8.649 2.242
-5.012 -6.446 1.505
-5.609 -6.966 -1.187
-2.971 -7.139 -0.264
-5.896 -9.427 5.753
-3.421 -10.086 4.585
-5.703 -10.027 3.009
-2.671 -0.546 0.665
-2.041 0.055 3.342
-4.686 0.247 2.399
-3.304 -5.080 -1.791
-5.774 -4.446 -0.634
-3.463 -4.401 0.927
-3.617 -2.493 2.681
-3.674 -2.237 -1.070
-5.036 -9.254 0.594
-4.527 -7.447 3.852
```

Output
For the volume, the calculation gives 423.8 Å³ per cell. Its symmetry is C2. As for the uncorrected formation energy: -3.149 eV/atom. The value obtained for the total magnetization is 0.000 μB/f.u. The density of states at the Fermi level is 0.00 states/eV/atom.

=====

# KNaS2

KNaS2 after structural relaxation (PBEsol, Alexandria via LeMat-Bulk).

The structure in POSCAR format:
```
KNaS2
1.0
4.944 0.000 0.000
0.000 4.944 0.000
-2.472 -2.472 8.954
Na K S
2 2 4
Cartesian
2.472 0.000 4.477
2.472 2.472 0.000
0.000 2.472 4.477
0.000 0.000 0.000
2.167 3.708 2.239
2.777 1.236 2.239
-1.236 -0.305 6.716
1.236 0.305 6.716
```

Output
For the volume, the calculation gives 218.9 Å³ per cell. Its symmetry is I-42d. As for the uncorrected formation energy: -0.652 eV/atom. The energy above the most stable polymorph in this dataset is 0 meV per atom. The value obtained for the total magnetization is 0.000 μB/f.u. The density of states at the Fermi level is 0.30 states/eV/atom.

=====

# Fe2OsRh

Fe2OsRh after structural relaxation (PBEsol, Alexandria via LeMat-Bulk).

The structure in POSCAR format:
```
Fe2OsRh
1.0
-1.280 -3.923 0.167
2.738 -3.080 -0.281
0.855 -2.312 3.314
Fe Os Rh
2 1 1
Cartesian
0.578 -2.329 0.800
1.735 -6.986 2.400
0.000 0.000 0.000
1.156 -4.658 1.600
```

Output
For the volume, the calculation gives 49.8 Å³ per cell. Its symmetry is Fm-3m. The energy above the most stable polymorph in this dataset is 134 meV per atom. The value obtained for the total magnetization is 5.138 μB/f.u. The density of states at the Fermi level is 1.49 states/eV/atom.

=====

Question: Which of these has the highest volume?
Answer: CsBe2F5